# 1
DFT (PBEsol) results for a relaxed Cs3TeH crystal.

Summary:
ΔE to the lowest computed polymorph = 2 meV per atom
symmetry = Pm-3m, No. 221
M_tot = 0.00 Bohr magnetons per cell

a = 5.7660 Å, b = 5.7660 Å, c = 5.7660 Å
α = 90.00°, β = 90.00°, γ = 90.00°
With the nearest neighbours (Å) after each atom.
Atoms (fractional coordinates):
Cs: 0.0000 0.5000 0.0000  2 H 2.88
Cs: 0.0000 0.0000 0.5000  2 H 2.88
Cs: 0.5000 0.0000 0.0000  2 H 2.88
H: 0.0000 0.0000 0.0000  6 Cs 2.88
Te: 0.5000 0.5000 0.5000  12 Cs 4.08

# 2
DFT (PBEsol) results for a relaxed Cs3TeH crystal.

Summary:
ΔE to the lowest computed polymorph = 0 meV per atom
symmetry = Pnma, No. 62
M_tot = 0.00 Bohr magnetons per cell

a = 8.2543 Å, b = 8.1627 Å, c = 11.6537 Å
α = 90.00°, β = 90.00°, γ = 90.00°
With the nearest neighbours (Å) after each atom.
Atoms (fractional coordinates):
Cs: 0.7787 0.2203 0.9774  2 H 2.93-2.94
Cs: 0.2787 0.2797 0.4774  2 H 2.93-2.94
Cs: 0.2787 0.2797 0.0226  2 H 2.93-2.94
Cs: 0.2213 0.7797 0.4774  2 H 2.93-2.94
Cs: 0.2213 0.7797 0.0226  2 H 2.93-2.94
Cs: 0.7213 0.7203 0.5226  2 H 2.93-2.94
Cs: 0.7213 0.7203 0.9774  2 H 2.93-2.94
Cs: 0.7787 0.2203 0.5226  2 H 2.93-2.94
Cs: 0.9572 0.5040 0.2500  2 H 2.93
Cs: 0.4572 0.9960 0.7500  2 H 2.93
Cs: 0.0428 0.4960 0.7500  2 H 2.93
Cs: 0.5428 0.0040 0.2500  2 H 2.93
H: 0.5000 0.0000 0.0000  6 Cs 2.93-2.94
H: 0.0000 0.5000 0.5000  6 Cs 2.93-2.94
H: 0.0000 0.5000 0.0000  6 Cs 2.93-2.94
H: 0.5000 0.0000 0.5000  6 Cs 2.93-2.94
Te: 0.4973 0.5234 0.2500  8 Cs 3.77-4.07
Te: 0.9973 0.9766 0.7500  8 Cs 3.77-4.07
Te: 0.5027 0.4766 0.7500  8 Cs 3.77-4.07
Te: 0.0027 0.0234 0.2500  8 Cs 3.77-4.07

# 3
DFT (PBEsol) results for a relaxed CsTe2H crystal.

Summary:
ΔE to the lowest computed polymorph = 0 meV per atom
symmetry = R-3m, No. 166
M_tot = 0.00 Bohr magnetons per cell

a = 3.7264 Å, b = 3.7264 Å, c = 10.0161 Å
α = 79.28°, β = 79.28°, γ = 60.00°
With the nearest neighbours (Å) after each atom.
Atoms (fractional coordinates):
Cs: 0.5000 0.5000 0.5000  6 Te 3.65, 6 Cs 3.73
H: 0.0000 0.0000 0.0000  2 Te 1.94
Te: 0.0661 0.0661 0.8016  1 H 1.94
Te: 0.9339 0.9339 0.1984  1 H 1.94

# 4
DFT (PBEsol) results for a relaxed CsY2TeH crystal.

Summary:
symmetry = P4/mmm, No. 123
M_tot = 0.00 Bohr magnetons per cell

a = 4.9473 Å, b = 4.9473 Å, c = 5.0688 Å
α = 90.00°, β = 90.00°, γ = 90.00°
With the nearest neighbours (Å) after each atom.
Atoms (fractional coordinates):
Cs: 0.0000 0.0000 0.5000  2 H 2.53
Y: 0.0000 0.5000 0.0000  2 H 2.47
Y: 0.5000 0.0000 0.0000  2 H 2.47
Te: 0.5000 0.5000 0.5000  4 Cs 3.50, 8 Y 3.54
H: 0.0000 0.0000 0.0000  4 Y 2.47, 2 Cs 2.53

# 5
DFT (PBEsol) results for a relaxed Cs2TiZnH crystal.

Summary:
symmetry = P4/mmm, No. 123
M_tot = 2.97 Bohr magnetons per cell

a = 3.8450 Å, b = 6.3869 Å, c = 6.3869 Å
α = 90.00°, β = 90.00°, γ = 90.00°
With the nearest neighbours (Å) after each atom.
Atoms (fractional coordinates):
Cs: 0.0000 0.0000 0.5000  2 H 3.19
Cs: 0.0000 0.5000 0.0000  2 H 3.19
H: 0.0000 0.0000 0.0000  2 Ti 1.92
Zn: 0.5000 0.5000 0.5000  8 Cs 3.73, 2 Zn 3.84
Ti: 0.5000 0.0000 0.0000  2 H 1.92

# 6
DFT (PBEsol) results for a relaxed CsTlH crystal.

Summary:
symmetry = R-3m, No. 166
M_tot = 0.00 Bohr magnetons per cell

a = 5.3188 Å, b = 5.3188 Å, c = 8.1196 Å
α = 70.88°, β = 70.88°, γ = 60.00°
With the nearest neighbours (Å) after each atom.
Atoms (fractional coordinates):
Cs: 0.3983 0.3983 0.8052  4 H 3.07-3.08
Cs: 0.6017 0.6017 0.1948  4 H 3.07-3.08
H: 0.2619 0.2619 0.2144  1 Tl 2.00
H: 0.7382 0.7382 0.7856  1 Tl 2.00
Tl: 0.1733 0.1733 0.4802  1 H 2.00
Tl: 0.8267 0.8267 0.5198  1 H 2.00

# 7
DFT (PBEsol) results for a relaxed CsYH3 crystal.

Summary:
symmetry = Pm-3m, No. 221
M_tot = 0.01 Bohr magnetons per cell

a = 4.8382 Å, b = 4.8382 Å, c = 4.8382 Å
α = 90.00°, β = 90.00°, γ = 90.00°
With the nearest neighbours (Å) after each atom.
Atoms (fractional coordinates):
Cs: 0.0000 0.0000 0.0000  6 H 2.42
Y: 0.5000 0.5000 0.5000  12 H 3.42
H: 0.0000 0.5000 0.0000  2 Cs 2.42
H: 0.0000 0.0000 0.5000  2 Cs 2.42
H: 0.5000 0.0000 0.0000  2 Cs 2.42

# 8
DFT (PBEsol) results for a relaxed Cs3ZnH crystal.

Summary:
symmetry = Pm-3m, No. 221
M_tot = 0.00 Bohr magnetons per cell

a = 5.9744 Å, b = 5.9744 Å, c = 5.9744 Å
α = 90.00°, β = 90.00°, γ = 90.00°
With the nearest neighbours (Å) after each atom.
Atoms (fractional coordinates):
Cs: 0.0000 0.5000 0.0000  2 H 2.99
Cs: 0.0000 0.0000 0.5000  2 H 2.99
Cs: 0.5000 0.0000 0.0000  2 H 2.99
H: 0.0000 0.0000 0.0000  6 Cs 2.99
Zn: 0.5000 0.5000 0.5000  12 Cs 4.22

| no. | mass density (g/cm³) | total DFT energy (no corrections) (eV for the cell shown) |
| --- | --- | --- |
| 1 | 4.6 | -13.1 |
| 2 | 4.5 | -52.4 |
| 3 | 5.5 | -11.0 |
| 4 | 5.9 | -22.3 |
| 5 | 4.0 | -11.9 |
| 6 | 6.1 | -14.5 |
| 7 | 3.3 | -12.8 |
| 8 | 3.6 | -7.2 |